! AgSbSe | the Alexandria database | PBE | optimized geometry; values from VASP
! Crystal system   tetragonal
! Formation energy without anion corrections   218 meV per atom
&SYSTEM
  ibrav = 0, nat = 3, ntyp = 3
/
ATOMIC_SPECIES
Ag 107.87 Ag.upf
Sb 121.76 Sb.upf
Se 78.96 Se.upf
CELL_PARAMETERS angstrom
-6.023 4.153 -3.449
-5.829 1.785 -5.316
-2.396 -1.257 1.346
ATOMIC_POSITIONS crystal
Ag 0.005 0.005 0.995
Sb 0.355 0.355 0.645
Se 0.639 0.639 0.361